[1]
DFT (PBEsol) results for an optimized crystal structure of Pr2Mo3O12.

Lattice parameters (Å, degrees): 10.575 10.619 10.920 90.00 90.00 90.00
Space group Pba2 (No. 32)
Asymmetric unit:
Pr: 0.008 0.191 0.000
Pr: 0.191 0.506 0.527
Mo: 0.004 0.791 0.621
Mo: 0.208 0.512 0.907
Mo: 0.242 0.758 0.264
O: 0.006 0.371 0.574
O: 0.019 0.198 0.779
O: 0.114 0.120 0.548
O: 0.117 0.389 0.970
O: 0.125 0.826 0.171
O: 0.129 0.994 0.952
O: 0.145 0.186 0.169
O: 0.156 0.844 0.582
O: 0.158 0.660 0.959
O: 0.173 0.645 0.361
O: 0.187 0.374 0.356
O: 0.196 0.510 0.748

Raw total energy, eV per cell: -604.95
Raw formation energy, meV per atom: -2504.4
Magnetic moment, μB/atom: 0.000



[2]
DFT (PBEsol) results for an optimized crystal structure of Pr2Mo3O12.

Lattice parameters (Å, degrees): 7.556 7.556 10.875 90.00 90.00 90.00
Space group P-42_1m (No. 113)
Asymmetric unit:
Pr: 0.189 0.311 0.263
Mo: 0.000 0.000 0.000
Mo: 0.209 0.291 0.645
O: 0.003 0.226 0.702
O: 0.043 0.185 0.094
O: 0.128 0.628 0.310
O: 0.198 0.302 0.484

Raw total energy, eV per cell: -302.47
Raw formation energy, meV per atom: -2504.1
Magnetic moment, μB/atom: 0.000



[3]
DFT (PBEsol) results for an optimized crystal structure of Pr2MoO6.

Lattice parameters (Å, degrees): 16.723 11.431 5.541 90.00 107.88 90.00
Space group C2/c (No. 15)
Asymmetric unit:
Pr: 0.000 0.111 0.250
Pr: 0.000 0.369 0.750
Pr: 0.173 0.117 0.883
Mo: 0.153 0.355 0.439
O: 0.076 0.240 0.584
O: 0.081 0.464 0.480
O: 0.093 0.015 0.078
O: 0.106 0.279 0.140
O: 0.228 0.299 0.728
O: 0.230 0.444 0.361

Raw total energy, eV per cell: -637.44
Raw formation energy, meV per atom: -2894.2
Magnetic moment, μB/atom: 0.000



[4]
DFT (PBEsol) results for an optimized crystal structure of Pr2Te4MoO14.

Lattice parameters (Å, degrees): 6.944 9.979 10.093 90.28 107.76 93.82
Space group P-1 (No. 2)
Asymmetric unit:
Pr: 0.148 0.309 0.087
Pr: 0.287 0.540 0.794
Te: 0.130 0.272 0.460
Te: 0.239 0.610 0.285
Te: 0.425 0.834 0.625
Te: 0.448 0.796 0.045
Mo: 0.020 0.036 0.761
O: 0.004 0.416 0.867
O: 0.084 0.397 0.312
O: 0.113 0.120 0.925
O: 0.117 0.858 0.366
O: 0.138 0.112 0.236
O: 0.187 0.391 0.610
O: 0.200 0.720 0.928
O: 0.207 0.700 0.595
O: 0.232 0.991 0.715
O: 0.370 0.770 0.213
O: 0.379 0.494 0.206
O: 0.412 0.358 0.960
O: 0.431 0.285 0.462
O: 0.482 0.226 0.189

Raw total energy, eV per cell: -297.93
Raw formation energy, meV per atom: -1868.3
Magnetic moment, μB/atom: 0.000



[5]
DFT (PBEsol) results for an optimized crystal structure of MoPtO2.

Lattice parameters (Å, degrees): 2.7614 2.7614 20.1194 90.00 90.00 120.00
Space group R-3m (No. 166, hexagonal axes)
Asymmetric unit:
Mo: 0.0000 0.0000 0.0000
Pt: 0.0000 0.0000 0.5000
O: 0.0000 0.0000 0.4000

Raw total energy, eV per cell: -101.90
Raw formation energy, meV per atom: -1184.5
Magnetic moment, μB/atom: 0.000



[6]
DFT (PBEsol) results for an optimized crystal structure of RbMoSO2.

Lattice parameters (Å, degrees): 4.030 4.030 5.440 90.00 90.00 90.00
Space group P4/mmm (No. 123)
Asymmetric unit:
Rb: 0.000 0.000 0.000
Mo: 0.500 0.500 0.000
S: 0.000 0.000 0.500
O: 0.000 0.500 0.500

Raw total energy, eV per cell: -20.93
Raw formation energy, meV per atom: 1348.7
Magnetic moment, μB/atom: 0.956



[7]
DFT (PBEsol) results for an optimized crystal structure of Rb2Mo3SO13.

Lattice parameters (Å, degrees): 9.559 13.028 11.564 90.00 119.72 90.00
Space group P2_1/c (No. 14)
Asymmetric unit:
Rb: 0.027 0.180 0.460
Rb: 0.460 0.688 0.454
Mo: 0.149 0.564 0.798
Mo: 0.191 0.519 0.527
Mo: 0.461 0.011 0.631
S: 0.251 0.171 0.250
O: 0.012 0.536 0.609
O: 0.032 0.551 0.869
O: 0.157 0.104 0.295
O: 0.166 0.646 0.489
O: 0.166 0.693 0.783
O: 0.202 0.141 0.110
O: 0.220 0.222 0.759
O: 0.326 0.018 0.981
O: 0.327 0.539 0.719
O: 0.352 0.540 0.196
O: 0.361 0.542 0.952
O: 0.393 0.134 0.595
O: 0.426 0.146 0.338

Raw total energy, eV per cell: -587.33
Raw formation energy, meV per atom: -1939.6
Magnetic moment, μB/atom: 0.000



[8]
DFT (PBEsol) results for an optimized crystal structure of RbSbMoO6.

Lattice parameters (Å, degrees): 7.198 10.087 7.573 90.00 90.00 90.00
Space group Ima2 (No. 46)
Asymmetric unit:
Rb: 0.250 0.137 0.000
Sb: 0.000 0.000 0.427
Mo: 0.250 0.737 0.214
O: 0.065 0.628 0.116
O: 0.065 0.630 0.740
O: 0.250 0.080 0.422
O: 0.250 0.680 0.431

Raw total energy, eV per cell: -261.47
Raw formation energy, meV per atom: -1835.7
Magnetic moment, μB/atom: 0.000



[9]
DFT (PBEsol) results for an optimized crystal structure of RbScMo2O8.

Lattice parameters (Å, degrees): 5.7986 5.7986 7.5202 90.00 90.00 120.00
Space group P-3m1 (No. 164)
Asymmetric unit:
Rb: 0.0000 0.0000 0.0000
Sc: 0.0000 0.0000 0.5000
Mo: 0.3333 0.6667 0.2588
O: 0.1654 0.3308 0.3333
O: 0.3333 0.6667 0.0303

Raw total energy, eV per cell: -102.06
Raw formation energy, meV per atom: -2408.0
Magnetic moment, μB/atom: 0.000



[10]
DFT (PBEsol) results for an optimized crystal structure of Rb2Mo3SeO12.

Lattice parameters (Å, degrees): 7.2730 7.2730 12.0140 90.00 90.00 120.00
Space group P6_3 (No. 173)
Asymmetric unit:
Rb: 0.3333 0.6667 0.0000
Rb: 0.3333 0.6667 0.3885
Mo: 0.1360 0.7964 0.7217
Se: 0.0000 0.0000 0.4537
O: 0.0869 0.5385 0.7676
O: 0.1201 0.2490 0.8928
O: 0.1206 0.8711 0.2094
O: 0.2006 0.7959 0.5847

Raw total energy, eV per cell: -275.56
Raw formation energy, meV per atom: -1865.7
Magnetic moment, μB/atom: 0.000



[11]
DFT (PBEsol) results for an optimized crystal structure of RbSmMo2O8.

Lattice parameters (Å, degrees): 10.666 10.453 7.715 90.00 130.97 90.00
Space group C2/c (No. 15)
Asymmetric unit:
Rb: 0.000 0.196 0.250
Sm: 0.000 0.230 0.750
Mo: 0.194 0.499 0.238
O: 0.026 0.393 0.975
O: 0.129 0.074 0.695
O: 0.188 0.424 0.436
O: 0.233 0.157 0.131

Raw total energy, eV per cell: -403.85
Raw formation energy, meV per atom: -2442.8
Magnetic moment, μB/atom: 0.000